No. 1
The following is a PBE calculation of ZrV3Co after structural relaxation, from Alexandria via LeMat-Bulk.

Values from the calculation:
- Calculated formation energy: 9.76 eV per formula unit
- Distance to the lowest polymorph of the same formula: 7.09 eV/f.u.
- Total magnetization: 4.9 Bohr magnetons per cell
- Final energy: -6.651 eV per atom

```
data_ZrV3Co
_chemical_formula_sum 'Zr1 V3 Co1'
_symmetry_space_group_name_H-M 'P m -3 m'
_symmetry_Int_Tables_number 221
_symmetry_space_group_name_Hall '-P 4 2 3'
_cell_length_a 4.587
_cell_length_b 4.587
_cell_length_c 4.587
_cell_angle_alpha 90.00
_cell_angle_beta 90.00
_cell_angle_gamma 90.00
loop_
_atom_site_label
_atom_site_type_symbol
_atom_site_fract_x
_atom_site_fract_y
_atom_site_fract_z
Zr1 Zr 0.000 0.000 0.000
V1 V 0.000 0.000 0.500
Co1 Co 0.500 0.500 0.500
```

---

No. 2
The following is a PBE calculation of Zr2VCo3 after structural relaxation, from Alexandria via LeMat-Bulk.

Values from the calculation:
- Calculated formation energy: -1.90 eV per formula unit
- Distance to the lowest polymorph of the same formula: 0.06 eV/f.u.
- Total magnetization: 0.0 Bohr magnetons per cell
- Final energy: -8.238 eV per atom

```
data_Zr2VCo3
_chemical_formula_sum 'Zr4 V2 Co6'
_symmetry_space_group_name_H-M 'P 63/m m c'
_symmetry_Int_Tables_number 194
_symmetry_space_group_name_Hall '-P 6c 2c'
_cell_length_a 5.0800
_cell_length_b 5.0800
_cell_length_c 7.7424
_cell_angle_alpha 90.00
_cell_angle_beta 90.00
_cell_angle_gamma 120.00
loop_
_atom_site_label
_atom_site_type_symbol
_atom_site_fract_x
_atom_site_fract_y
_atom_site_fract_z
Zr1 Zr 0.3333 0.6667 0.0592
V1 V 0.0000 0.0000 0.0000
Co1 Co 0.1695 0.3390 0.7500
```

---

Question: What is the total magnetization in the second record?
Answer: 0.0 Bohr magnetons per cell